#a
Here is a geometry-optimized CuH3Cl structure from Alexandria. Energies are from PBE-GGA.

Cell: 3.6555 3.6555 3.6555 Å, 90.00 90.00 90.00°
With the nearest neighbours (Å) after each atom.
Fractional positions:
Cu (0.0000, 0.0000, 0.0000)  12 H 2.58
H (0.0000, 0.5000, 0.5000)  2 Cl 1.83
H (0.5000, 0.0000, 0.5000)  2 Cl 1.83
H (0.5000, 0.5000, 0.0000)  2 Cl 1.83
Cl (0.5000, 0.5000, 0.5000)  6 H 1.83

Values from the calculation:
calculated volume: 9.77 Å³/atom
SG: No. 221
total magnetic moment: 0.0000 μB per atom

***

#b
Here is a geometry-optimized CuH3Cl structure from Alexandria. Energies are from PBE-GGA.

Cell: 3.5530 3.5530 3.5530 Å, 90.00 90.00 90.00°
With the nearest neighbours (Å) after each atom.
Fractional positions:
Cu (0.0000, 0.0000, 0.0000)  6 H 1.78
H (0.0000, 0.0000, 0.5000)  2 Cu 1.78
H (0.0000, 0.5000, 0.0000)  2 Cu 1.78
H (0.5000, 0.0000, 0.0000)  2 Cu 1.78
Cl (0.5000, 0.5000, 0.5000)  12 H 2.51

Values from the calculation:
calculated volume: 8.97 Å³/atom
SG: No. 221
total magnetic moment: 0.0000 μB per atom

***

Stability comparison, relative energies in kJ/mol of atoms: #a 54.1; #b 0.0

***

#a
Here is a geometry-optimized CuHCl3 structure from Alexandria. Energies are from PBE-GGA.

Cell: 7.5553 7.5553 10.9998 Å, 95.16 95.16 23.91°
With the nearest neighbours (Å) after each atom.
Fractional positions:
Cu (0.1289, 0.1289, 0.4095)  4 Cl 2.24-2.26
Cu (0.8711, 0.8711, 0.5905)  4 Cl 2.24-2.26
H (0.3981, 0.3981, 0.1026)  2 Cl 1.62
H (0.6019, 0.6019, 0.8974)  2 Cl 1.62
Cl (0.1294, 0.1294, 0.9127)  2 H 1.62
Cl (0.3628, 0.3628, 0.4422)  2 Cu 2.26
Cl (0.3827, 0.3827, 0.7368)  2 Cu 2.24
Cl (0.6173, 0.6173, 0.2632)  2 Cu 2.24
Cl (0.6372, 0.6372, 0.5578)  2 Cu 2.26
Cl (0.8706, 0.8706, 0.0873)  2 H 1.62

Values from the calculation:
calculated volume: 25.34 Å³/atom
SG: No. 12
total magnetic moment: 0.1652 μB per atom

***

#b
Here is a geometry-optimized CuHCl3 structure from Alexandria. Energies are from PBE-GGA.

Cell: 4.7020 4.7020 4.7020 Å, 90.00 90.00 90.00°
With the nearest neighbours (Å) after each atom.
Fractional positions:
Cu (0.0000, 0.0000, 0.0000)  6 Cl 2.35
H (0.5000, 0.5000, 0.5000)  12 Cl 3.32
Cl (0.0000, 0.0000, 0.5000)  2 Cu 2.35
Cl (0.0000, 0.5000, 0.0000)  2 Cu 2.35
Cl (0.5000, 0.0000, 0.0000)  2 Cu 2.35

Values from the calculation:
calculated volume: 20.79 Å³/atom
SG: No. 221
total magnetic moment: 0.1256 μB per atom

***

Stability comparison, relative energies in kJ/mol of atoms: #a 0.0; #b 67.9

***

#a
Here is a geometry-optimized Cu2HCl6 structure from Alexandria. Energies are from PBE-GGA.

Cell: 6.0825 6.7745 11.1871 Å, 79.89 86.07 87.38°
With the nearest neighbours (Å) after each atom.
Fractional positions:
Cu (0.0528, 0.4801, 0.2619)  4 Cl 2.18-2.24
Cu (0.4025, 0.7833, 0.7588)  4 Cl 2.19-2.31
Cu (0.5975, 0.2167, 0.2412)  4 Cl 2.19-2.31
Cu (0.9472, 0.5199, 0.7381)  4 Cl 2.18-2.24
H (0.3339, 0.8478, 0.2532)  2 Cl 1.51-1.62
H (0.6661, 0.1522, 0.7468)  2 Cl 1.51-1.62
Cl (0.1138, 0.7945, 0.6402)  2 Cu 2.23-2.26
Cl (0.1514, 0.7835, 0.1702)  1 H 1.62
Cl (0.2263, 0.5027, 0.8610)  2 Cu 2.24-2.31
Cl (0.3105, 0.4301, 0.3917)  1 Cu 2.18
Cl (0.3583, 0.2551, 0.1011)  1 Cu 2.19
Cl (0.4964, 0.0917, 0.6685)  1 H 1.51
Cl (0.5036, 0.9083, 0.3315)  1 H 1.51
Cl (0.6417, 0.7449, 0.8989)  1 Cu 2.19
Cl (0.6895, 0.5699, 0.6083)  1 Cu 2.18
Cl (0.7737, 0.4973, 0.1390)  2 Cu 2.24-2.31
Cl (0.8486, 0.2165, 0.8298)  1 H 1.62
Cl (0.8862, 0.2055, 0.3597)  2 Cu 2.23-2.26

Values from the calculation:
calculated volume: 25.14 Å³/atom
SG: No. 2
total magnetic moment: 0.0000 μB per atom

***

#b
Here is a geometry-optimized Cu2HCl6 structure from Alexandria. Energies are from PBE-GGA.

Cell: 8.9042 8.9042 6.5422 Å, 90.14 90.14 101.65°
With the nearest neighbours (Å) after each atom.
Fractional positions:
Cu (0.1472, 0.2779, 0.2109)  4 Cl 2.22-2.40
Cu (0.2779, 0.1472, 0.7109)  4 Cl 2.22-2.40
Cu (0.7221, 0.8528, 0.2891)  4 Cl 2.22-2.40
Cu (0.8528, 0.7221, 0.7891)  4 Cl 2.22-2.40
H (0.1892, 0.8108, 0.7500)  2 Cl 1.56
H (0.8108, 0.1892, 0.2500)  2 Cl 1.56
Cl (0.0691, 0.6883, 0.6332)  1 H 1.56
Cl (0.1201, 0.2725, 0.8737)  2 Cu 2.22-2.23
Cl (0.2725, 0.1201, 0.3737)  2 Cu 2.22-2.23
Cl (0.3117, 0.9309, 0.8668)  1 H 1.56
Cl (0.3195, 0.5194, 0.1603)  1 Cl 2.15, 1 Cu 2.40
Cl (0.4806, 0.6805, 0.3397)  1 Cl 2.15, 1 Cu 2.40
Cl (0.5194, 0.3195, 0.6603)  1 Cl 2.15, 1 Cu 2.40
Cl (0.6805, 0.4806, 0.8397)  1 Cl 2.15, 1 Cu 2.40
Cl (0.6883, 0.0691, 0.1332)  1 H 1.56
Cl (0.7275, 0.8799, 0.6263)  2 Cu 2.22-2.23
Cl (0.8799, 0.7275, 0.1263)  2 Cu 2.22-2.23
Cl (0.9309, 0.3117, 0.3668)  1 H 1.56

Values from the calculation:
calculated volume: 28.22 Å³/atom
SG: No. 15
total magnetic moment: 0.1191 μB per atom

***

Stability comparison, relative energies in kJ/mol of atoms: #a 0.0; #b 4.8

***

#a
Here is a geometry-optimized CuHCl structure from Alexandria. Energies are from PBE-GGA.

Cell: 3.9609 5.4236 6.2103 Å, 103.83 106.66 109.62°
With the nearest neighbours (Å) after each atom.
Fractional positions:
Cu (0.1990, 0.2242, 0.4904)  2 H 1.58
Cu (0.8010, 0.7758, 0.5096)  2 H 1.58
H (0.0022, 0.1042, 0.6538)  2 Cu 1.58
H (0.9978, 0.8958, 0.3462)  2 Cu 1.58
Cl (0.4927, 0.6783, 0.7565)  2 Cu 2.27-2.28
Cl (0.5073, 0.3217, 0.2435)  2 Cu 2.27-2.28

Values from the calculation:
calculated volume: 18.63 Å³/atom
SG: No. 2
total magnetic moment: 0.0000 μB per atom

***

#b
Here is a geometry-optimized CuHCl structure from Alexandria. Energies are from PBE-GGA.

Cell: 15.4741 5.4769 14.9026 Å, 90.00 90.00 90.00°
With the nearest neighbours (Å) after each atom.
Fractional positions:
Cu (0.2127, 0.9996, 0.2444)  4 H 1.78-1.80
Cu (0.2127, 0.0004, 0.7444)  4 H 1.78-1.80
Cu (0.2189, 0.2224, 0.0839)  2 H 1.61-1.71
Cu (0.2190, 0.2227, 0.9050)  2 H 1.61-1.71
Cu (0.2190, 0.7773, 0.4050)  2 H 1.61-1.71
Cu (0.2189, 0.7776, 0.5839)  2 H 1.61-1.71
Cu (0.2810, 0.2773, 0.4050)  2 H 1.61-1.71
Cu (0.2811, 0.2776, 0.5839)  2 H 1.61-1.71
Cu (0.2811, 0.7224, 0.0839)  2 H 1.61-1.71
Cu (0.2810, 0.7227, 0.9050)  2 H 1.61-1.71
Cu (0.2873, 0.4996, 0.2444)  4 H 1.78-1.80
Cu (0.2873, 0.5004, 0.7444)  4 H 1.78-1.80
Cu (0.7127, 0.4996, 0.2556)  4 H 1.78-1.80
Cu (0.7127, 0.5004, 0.7556)  4 H 1.78-1.80
Cu (0.7190, 0.2773, 0.0950)  2 H 1.61-1.71
Cu (0.7189, 0.2776, 0.9161)  2 H 1.61-1.71
Cu (0.7189, 0.7224, 0.4161)  2 H 1.61-1.71
Cu (0.7190, 0.7227, 0.5950)  2 H 1.61-1.71
Cu (0.7811, 0.2224, 0.4161)  2 H 1.61-1.71
Cu (0.7810, 0.2227, 0.5950)  2 H 1.61-1.71
Cu (0.7810, 0.7773, 0.0950)  2 H 1.61-1.71
Cu (0.7811, 0.7776, 0.9161)  2 H 1.61-1.71
Cu (0.7873, 0.9996, 0.2556)  4 H 1.78-1.80
Cu (0.7873, 0.0004, 0.7556)  4 H 1.78-1.80
H (0.1607, 0.2151, 0.9944)  2 Cu 1.61
H (0.1607, 0.7849, 0.4944)  2 Cu 1.61
H (0.2259, 0.2765, 0.3057)  3 Cu 1.71-1.80
H (0.2260, 0.2775, 0.6832)  3 Cu 1.71-1.79
H (0.2260, 0.7225, 0.1832)  3 Cu 1.71-1.79
H (0.2259, 0.7235, 0.8057)  3 Cu 1.71-1.80
H (0.2740, 0.2225, 0.1832)  3 Cu 1.71-1.79
H (0.2741, 0.2235, 0.8057)  3 Cu 1.71-1.80
H (0.2741, 0.7765, 0.3057)  3 Cu 1.71-1.80
H (0.2740, 0.7775, 0.6832)  3 Cu 1.71-1.79
H (0.3393, 0.2849, 0.4944)  2 Cu 1.61
H (0.3393, 0.7151, 0.9944)  2 Cu 1.61
H (0.6607, 0.2849, 0.0056)  2 Cu 1.61
H (0.6607, 0.7151, 0.5056)  2 Cu 1.61
H (0.7260, 0.2225, 0.3168)  3 Cu 1.71-1.79
H (0.7259, 0.2235, 0.6943)  3 Cu 1.71-1.80
H (0.7259, 0.7765, 0.1943)  3 Cu 1.71-1.80
H (0.7260, 0.7775, 0.8168)  3 Cu 1.71-1.79
H (0.7741, 0.2765, 0.1943)  3 Cu 1.71-1.80
H (0.7740, 0.2775, 0.8168)  3 Cu 1.71-1.79
H (0.7740, 0.7225, 0.3168)  3 Cu 1.71-1.79
H (0.7741, 0.7235, 0.6943)  3 Cu 1.71-1.80
H (0.8393, 0.2151, 0.5056)  2 Cu 1.61
H (0.8393, 0.7849, 0.0056)  2 Cu 1.61
Cl (0.0948, 0.1915, 0.1515)  1 Cu 2.18
Cl (0.0950, 0.1920, 0.8370)  1 Cu 2.18
Cl (0.0950, 0.8080, 0.3370)  1 Cu 2.18
Cl (0.0948, 0.8085, 0.6515)  1 Cu 2.18
Cl (0.1648, 0.2856, 0.4945)  2 Cu 2.24
Cl (0.1648, 0.7144, 0.9945)  2 Cu 2.24
Cl (0.3352, 0.2144, 0.9945)  2 Cu 2.24
Cl (0.3352, 0.7856, 0.4945)  2 Cu 2.24
Cl (0.4050, 0.3080, 0.3370)  1 Cu 2.18
Cl (0.4052, 0.3085, 0.6515)  1 Cu 2.18
Cl (0.4052, 0.6915, 0.1515)  1 Cu 2.18
Cl (0.4050, 0.6920, 0.8370)  1 Cu 2.18
Cl (0.5950, 0.3080, 0.1630)  1 Cu 2.18
Cl (0.5948, 0.3085, 0.8485)  1 Cu 2.18
Cl (0.5948, 0.6915, 0.3485)  1 Cu 2.18
Cl (0.5950, 0.6920, 0.6630)  1 Cu 2.18
Cl (0.6648, 0.2144, 0.5055)  2 Cu 2.24
Cl (0.6648, 0.7856, 0.0055)  2 Cu 2.24
Cl (0.8352, 0.2856, 0.0055)  2 Cu 2.24
Cl (0.8352, 0.7144, 0.5055)  2 Cu 2.24
Cl (0.9052, 0.1915, 0.3485)  1 Cu 2.18
Cl (0.9050, 0.1920, 0.6630)  1 Cu 2.18
Cl (0.9050, 0.8080, 0.1630)  1 Cu 2.18
Cl (0.9052, 0.8085, 0.8485)  1 Cu 2.18

Values from the calculation:
calculated volume: 17.54 Å³/atom
SG: No. 60
total magnetic moment: 0.0000 μB per atom

***

Stability comparison, relative energies in kJ/mol of atoms: #a 0.0; #b 18.5